Computed, not measured: a relaxed HgOs crystal at the GGA-PBE level of DFT.

Structure (POSCAR):
```
HgOs
1.0
-2.160 -0.929 1.683
-0.886 -1.765 -2.112
5.122 -6.285 3.103
Hg Os
2 2
Direct
0.250 0.250 0.154
0.750 0.750 0.846
0.250 0.250 0.591
0.750 0.750 0.409
```

Output
space group	P4/nmm, No. 129
energy relative to the elements	0.456	eV/atom